(1)
A relaxed structure of InAgSO5. Source: the Alexandria database, functional PBE.

Results
E_form (uncorrected)	-1.153	eV per atom
crystal system	monoclinic
calculated density	4.937	Mg/m³

```
data_InAgSO5
_chemical_formula_sum 'In4 Ag4 S4 O20'
_space_group_name_H-M_alt 'C 1 2/c 1'
_space_group_IT_number 15
_cell_length_a 7.472
_cell_length_b 9.091
_cell_length_c 7.379
_cell_angle_alpha 90.00
_cell_angle_beta 116.04
_cell_angle_gamma 90.00
loop_
_space_group_symop_operation_xyz
'x,y,z'
'-x,-y,-z'
'-x,y,-z+1/2'
'x,-y,z+1/2'
'x+1/2,y+1/2,z'
'-x+1/2,-y+1/2,-z'
'-x+1/2,y+1/2,-z+1/2'
'x+1/2,-y+1/2,z+1/2'
loop_
_atom_site_label
_atom_site_type_symbol
_atom_site_fract_x
_atom_site_fract_y
_atom_site_fract_z
In1 In 0.000 0.000 0.000
Ag1 Ag 0.000 0.331 0.250
S1 S 0.000 0.329 0.750
O1 O 0.000 0.088 0.250
O2 O 0.081 0.234 0.637
O3 O 0.161 0.427 0.894
```

=====

(2)
A relaxed structure of La6IrRu2Cl2. Source: the Alexandria database, functional PBE.

Results
E_form (uncorrected)	-0.899	eV per atom
crystal system	monoclinic
calculated density	6.336	Mg/m³

```
data_La6IrRu2Cl2
_chemical_formula_sum 'La12 Ir2 Ru4 Cl4'
_space_group_name_H-M_alt 'C 1 2/m 1'
_space_group_IT_number 12
_cell_length_a 7.256
_cell_length_b 12.511
_cell_length_c 7.902
_cell_angle_alpha 90.00
_cell_angle_beta 108.39
_cell_angle_gamma 90.00
loop_
_space_group_symop_operation_xyz
'x,y,z'
'-x,-y,-z'
'-x,y,-z'
'x,-y,z'
'x+1/2,y+1/2,z'
'-x+1/2,-y+1/2,-z'
'-x+1/2,y+1/2,-z'
'x+1/2,-y+1/2,z'
loop_
_atom_site_label
_atom_site_type_symbol
_atom_site_fract_x
_atom_site_fract_y
_atom_site_fract_z
La1 La 0.236 0.172 0.206
La2 La 0.237 0.500 0.201
Ir1 Ir 0.000 0.000 0.000
Ru1 Ru 0.000 0.328 0.000
Cl1 Cl 0.000 0.166 0.500
```

=====

(3)
A relaxed structure of KRb7Cd2. Source: the Alexandria database, functional PBE.

Results
formation energy	0.0249	eV/atom
crystal system	tetragonal
calculated density	2.015	Mg/m³

```
data_KRb7Cd2
_chemical_formula_sum 'K2 Rb14 Cd4'
_space_group_name_H-M_alt 'I 4/m m m'
_space_group_IT_number 139
_space_group_name_Hall '-I 4 2'
_cell_length_a 6.599
_cell_length_b 6.599
_cell_length_c 32.637
_cell_angle_alpha 90.00
_cell_angle_beta 90.00
_cell_angle_gamma 90.00
loop_
_atom_site_label
_atom_site_type_symbol
_atom_site_fract_x
_atom_site_fract_y
_atom_site_fract_z
K1 K 0.000 0.000 0.000
Rb1 Rb 0.000 0.000 0.500
Rb2 Rb 0.000 0.500 0.113
Rb3 Rb 0.000 0.500 0.250
Cd1 Cd 0.000 0.000 0.322
```

=====

(4)
A relaxed structure of TbTc4Ge2. Source: the Alexandria database, functional PBE.

Results
formation energy	-0.3959	eV/atom
crystal system	orthorhombic
calculated density	9.525	Mg/m³

```
data_TbTc4Ge2
_chemical_formula_sum 'Tb2 Tc8 Ge4'
_space_group_name_H-M_alt 'C m m m'
_space_group_IT_number 65
_space_group_name_Hall '-C 2 2'
_cell_length_a 4.134
_cell_length_b 14.339
_cell_length_c 4.095
_cell_angle_alpha 90.00
_cell_angle_beta 90.00
_cell_angle_gamma 90.00
loop_
_atom_site_label
_atom_site_type_symbol
_atom_site_fract_x
_atom_site_fract_y
_atom_site_fract_z
Tb1 Tb 0.000 0.000 0.000
Tc1 Tc 0.000 0.192 0.500
Tc2 Tc 0.000 0.302 0.000
Ge1 Ge 0.000 0.413 0.500
```

=====

(5)
A relaxed structure of La12ZnCo6. Source: the Alexandria database, functional PBE.

Results
formation energy	-0.1331	eV/atom
crystal system	cubic
calculated density	6.707	Mg/m³

```
data_La12ZnCo6
_chemical_formula_sum 'La24 Zn2 Co12'
_space_group_name_H-M_alt 'I m -3'
_space_group_IT_number 204
_space_group_name_Hall '-I 2 2 3'
_cell_length_a 10.108
_cell_length_b 10.108
_cell_length_c 10.108
_cell_angle_alpha 90.00
_cell_angle_beta 90.00
_cell_angle_gamma 90.00
loop_
_atom_site_label
_atom_site_type_symbol
_atom_site_fract_x
_atom_site_fract_y
_atom_site_fract_z
La1 La 0.000 0.190 0.311
Zn1 Zn 0.000 0.000 0.000
Co1 Co 0.000 0.380 0.500
```

=====

(6)
A relaxed structure of Pm4Sb3H. Source: the Alexandria database, functional PBE.

Results
crystal system	orthorhombic
calculated density	6.432	Mg/m³
VASP energy	-5.203	eV per atom

```
data_Pm4Sb3H
_chemical_formula_sum 'Pm8 Sb6 H2'
_space_group_name_H-M_alt 'P m n 21'
_space_group_IT_number 31
_cell_length_a 12.421
_cell_length_b 6.276
_cell_length_c 6.269
_cell_angle_alpha 90.00
_cell_angle_beta 90.00
_cell_angle_gamma 90.00
loop_
_space_group_symop_operation_xyz
'x,y,z'
'-x+1/2,-y,z+1/2'
'-x,y,z'
'x+1/2,-y,z+1/2'
loop_
_atom_site_label
_atom_site_type_symbol
_atom_site_fract_x
_atom_site_fract_y
_atom_site_fract_z
Pm1 Pm 0.000 0.178 0.000
Pm2 Pm 0.000 0.750 0.563
Pm3 Pm 0.245 0.244 0.501
Sb1 Sb 0.000 0.250 0.501
Sb2 Sb 0.249 0.257 0.003
H1 H 0.000 0.819 0.925
```

=====

(7)
A relaxed structure of MgSnS2N. Source: the Alexandria database, functional PBE.

Results
E_form (uncorrected)	0.372	eV per atom
crystal system	tetragonal
calculated density	3.525	Mg/m³
energy above the most stable polymorph in this dataset	0.0	meV/atom

```
data_MgSnS2N
_chemical_formula_sum 'Mg1 Sn1 S2 N1'
_space_group_name_H-M_alt 'P 4/m m m'
_space_group_IT_number 123
_space_group_name_Hall '-P 4 2'
_cell_length_a 5.097
_cell_length_b 5.097
_cell_length_c 4.011
_cell_angle_alpha 90.00
_cell_angle_beta 90.00
_cell_angle_gamma 90.00
loop_
_atom_site_label
_atom_site_type_symbol
_atom_site_fract_x
_atom_site_fract_y
_atom_site_fract_z
Mg1 Mg 0.000 0.000 0.000
Sn1 Sn 0.500 0.500 0.500
S1 S 0.000 0.500 0.500
N1 N 0.500 0.500 0.000
```

=====

(8)
A relaxed structure of Na2AgPbO4. Source: the Alexandria database, functional PBE.

Results
E_form (uncorrected)	-0.973	eV per atom
crystal system	monoclinic
calculated density	6.301	Mg/m³

```
data_Na2AgPbO4
_chemical_formula_sum 'Na2 Ag1 Pb1 O4'
_space_group_name_H-M_alt 'P 1 2/m 1'
_space_group_IT_number 10
_cell_length_a 6.082
_cell_length_b 3.277
_cell_length_c 6.231
_cell_angle_alpha 90.00
_cell_angle_beta 115.60
_cell_angle_gamma 90.00
loop_
_space_group_symop_operation_xyz
'x,y,z'
'-x,-y,-z'
'-x,y,-z'
'x,-y,z'
loop_
_atom_site_label
_atom_site_type_symbol
_atom_site_fract_x
_atom_site_fract_y
_atom_site_fract_z
Na1 Na 0.000 0.000 0.000
Na2 Na 0.000 0.500 0.500
Ag1 Ag 0.500 0.000 0.500
Pb1 Pb 0.500 0.500 0.000
O1 O 0.248 0.000 0.790
O2 O 0.314 0.500 0.245
```

=====

(9)
A relaxed structure of HgAsSe2N. Source: the Alexandria database, functional PBE.

Results
E_form (uncorrected)	0.899	eV per atom
crystal system	tetragonal
calculated density	7.914	Mg/m³
energy above the most stable polymorph in this dataset	132.4	meV/atom

```
data_HgAsSe2N
_chemical_formula_sum 'Hg1 As1 Se2 N1'
_space_group_name_H-M_alt 'P 4/m m m'
_space_group_IT_number 123
_space_group_name_Hall '-P 4 2'
_cell_length_a 4.663
_cell_length_b 4.663
_cell_length_c 4.317
_cell_angle_alpha 90.00
_cell_angle_beta 90.00
_cell_angle_gamma 90.00
loop_
_atom_site_label
_atom_site_type_symbol
_atom_site_fract_x
_atom_site_fract_y
_atom_site_fract_z
Hg1 Hg 0.000 0.000 0.000
As1 As 0.500 0.500 0.000
Se1 Se 0.000 0.500 0.500
N1 N 0.500 0.500 0.500
```

=====

(10)
A relaxed structure of NbIn2AsI. Source: the Alexandria database, functional PBE.

Results
E_form (uncorrected)	0.518	eV per atom
crystal system	tetragonal
calculated density	5.209	Mg/m³
energy above the most stable polymorph in this dataset	301.8	meV/atom

```
data_NbIn2AsI
_chemical_formula_sum 'Nb1 In2 As1 I1'
_space_group_name_H-M_alt 'P 4/m m m'
_space_group_IT_number 123
_space_group_name_Hall '-P 4 2'
_cell_length_a 5.779
_cell_length_b 5.779
_cell_length_c 5.005
_cell_angle_alpha 90.00
_cell_angle_beta 90.00
_cell_angle_gamma 90.00
loop_
_atom_site_label
_atom_site_type_symbol
_atom_site_fract_x
_atom_site_fract_y
_atom_site_fract_z
Nb1 Nb 0.000 0.000 0.000
In1 In 0.000 0.500 0.500
As1 As 0.000 0.000 0.500
I1 I 0.500 0.500 0.000
```